1.
A geometry-optimized BaFe2Br structure, computed with PBE.

Magnetization   5.4 μB/f.u.
E_form (uncorrected)   0.14 eV/atom

Unit cell a=3.4896 b=3.4896 c=7.6097 alpha=90.00 beta=90.00 gamma=90.00
Fractional positions:
Ba1 0.0000 0.0000 0.0000
Fe1 0.0000 0.0000 0.5795
Fe2 0.5000 0.5000 0.6751
Br1 0.5000 0.5000 0.3006

***

2.
A geometry-optimized BaFe2I6Br2 structure, computed with PBE.

Magnetization   10.0 μB/f.u.
E_form (uncorrected)   -0.65 eV/atom

Unit cell a=7.7586 b=7.7586 c=10.9504 alpha=90.00 beta=90.00 gamma=120.00
Fractional positions:
Ba1 0.0000 0.0000 0.0000
Fe1 0.3333 0.6667 0.7345
Fe2 0.6667 0.3333 0.2655
I1 0.0043 0.6359 0.8122
I2 0.3641 0.3684 0.8122
I3 0.3684 0.0043 0.1878
I4 0.6316 0.9957 0.8122
I5 0.6359 0.6316 0.1878
I6 0.9957 0.3641 0.1878
Br1 0.3333 0.6667 0.5252
Br2 0.6667 0.3333 0.4748

***

3.
A geometry-optimized BaIn2FeBr structure, computed with PBE.

Magnetization   2.8 μB/f.u.
E_form (uncorrected)   0.51 eV/atom

Unit cell a=5.8418 b=5.8418 c=6.0931 alpha=90.00 beta=90.00 gamma=90.00
Fractional positions:
Ba1 0.0000 0.0000 0.0000
In1 0.0000 0.5000 0.5000
In2 0.5000 0.0000 0.5000
Fe1 0.5000 0.5000 0.0000
Br1 0.0000 0.0000 0.5000

***

4.
A geometry-optimized BaInFe2Br8 structure, computed with PBE.

Magnetization   9.0 μB/f.u.
E_form (uncorrected)   -0.89 eV/atom

Unit cell a=6.9999 b=6.9999 c=10.7448 alpha=90.00 beta=90.00 gamma=120.00
Fractional positions:
Ba1 0.0000 0.0000 0.0000
In1 0.0000 0.0000 0.5000
Fe1 0.3333 0.6667 0.2735
Fe2 0.6667 0.3333 0.7265
Br1 0.0024 0.3442 0.2034
Br2 0.3333 0.6667 0.4920
Br3 0.3418 0.9976 0.2034
Br4 0.3442 0.3418 0.7966
Br5 0.6558 0.6582 0.2034
Br6 0.6582 0.0024 0.7966
Br7 0.6667 0.3333 0.5080
Br8 0.9976 0.6558 0.7966

***

5.
A geometry-optimized BaNaFe2Br8 structure, computed with PBE.

Magnetization   9.0 μB/f.u.
E_form (uncorrected)   -1.04 eV/atom

Unit cell a=7.5444 b=7.5444 c=9.3724 alpha=90.00 beta=90.00 gamma=120.00
Fractional positions:
Ba1 0.0000 0.0000 0.0000
Na1 0.0000 0.0000 0.5000
Fe1 0.3333 0.6667 0.8018
Fe2 0.6667 0.3333 0.1982
Br1 0.0957 0.3245 0.7223
Br2 0.2289 0.9043 0.7223
Br3 0.3245 0.2289 0.2777
Br4 0.3333 0.6667 0.0521
Br5 0.6667 0.3333 0.9479
Br6 0.6755 0.7711 0.7223
Br7 0.7711 0.0957 0.2777
Br8 0.9043 0.6755 0.2777

***

Question: What is the formula in the third record?
Answer: BaIn2FeBr

***

Question: E_form (uncorrected) of number 1 (BaFe2Br)?
Answer: 0.14 eV/atom